[1]
First-principles (PBE) data for a relaxed KSr2Cu crystal, as listed in Alexandria.

## Properties
Formation energy, eV/atom: 0.4110
Polymorph energy (0 for the lowest one), meV per atom: 383
DFT total energy, eV/cell: -6.91

a = 7.0787 Å, b = 7.0787 Å, c = 4.1105 Å
α = 102.62°, β = 102.62°, γ = 112.99°
Last column: nearest neighbours and their distance in Å.
Fractional coordinates of all 4 atoms:
1 K 0.0000 0.0000 0.0000  4 Sr 3.68, 2 Cu 3.91, 2 K 4.11
2 Sr 0.0000 0.5000 0.5000  2 K 3.68, 2 Cu 3.68, 4 Sr 3.91-4.11
3 Sr 0.5000 0.0000 0.5000  2 K 3.68, 2 Cu 3.68, 4 Sr 3.91-4.11
4 Cu 0.5000 0.5000 0.0000  4 Sr 3.68, 2 K 3.91, 2 Cu 4.11


[2]
First-principles (PBE) data for a relaxed ScSnPbBr2 crystal, as listed in Alexandria.

## Properties
DFT total energy, eV/cell: -16.72
Formation energy without anion corrections, eV/atom: 0.134

a = 5.8118 Å, b = 5.8118 Å, c = 6.1068 Å
α = 90.00°, β = 90.00°, γ = 90.00°
Last column: nearest neighbours and their distance in Å.
Fractional coordinates of all 5 atoms:
1 Sc 0.0000 0.0000 0.0000  2 Sn 3.05
2 Sn 0.0000 0.0000 0.5000  4 Br 2.91, 2 Sc 3.05
3 Pb 0.5000 0.5000 0.0000  4 Sc 4.11, 8 Br 4.22
4 Br 0.0000 0.5000 0.5000  2 Sn 2.91
5 Br 0.5000 0.0000 0.5000  2 Sn 2.91


Number 1: total moment 0.00 Bohr magnetons per cell. Number 2: total moment 0.66 Bohr magnetons per cell.